VASP calculation (PBE) on a relaxed Ni2HgB crystal.

Values from the calculation:
ΔE to the lowest computed polymorph	0.0	meV/atom

Structure (POSCAR):
```
Ni2HgB
1.0
4.542 0.000 0.000
0.000 4.542 0.000
0.000 0.000 12.182
Ni Hg B
8 4 4
Cartesian
0.317 1.136 1.523
1.136 2.588 4.568
1.136 4.225 10.659
1.954 1.136 7.614
2.588 3.407 7.614
3.407 0.317 10.659
3.407 1.954 4.568
4.225 3.407 1.523
0.000 0.000 6.091
0.000 2.271 9.136
2.271 0.000 3.045
2.271 2.271 0.000
0.000 0.000 0.000
0.000 2.271 3.045
2.271 0.000 9.136
2.271 2.271 6.091
```

VASP calculation (PBE) on a relaxed Ni3HgB crystal.

Values from the calculation:
ΔE to the lowest computed polymorph	2224.2	meV/atom

Structure (POSCAR):
```
Ni3HgB
1.0
4.740 0.000 0.000
0.000 4.740 0.000
0.000 0.000 4.740
Ni Hg B
3 1 1
Cartesian
0.000 0.000 2.370
0.000 2.370 0.000
2.370 0.000 0.000
0.000 0.000 0.000
2.370 2.370 2.370
```

VASP calculation (PBE) on a relaxed Ni2Hg2B crystal.

Values from the calculation:
electronic total energy	-3.479	eV per atom

Structure (POSCAR):
```
Ni2Hg2B
1.0
5.540 0.000 0.000
0.000 5.540 0.000
0.000 0.000 4.774
Ni Hg B
4 4 2
Cartesian
0.965 1.805 0.000
1.805 4.575 0.000
3.735 0.965 0.000
4.575 3.735 0.000
0.984 3.754 2.387
1.786 0.984 2.387
3.754 4.556 2.387
4.556 1.786 2.387
0.000 0.000 0.000
2.770 2.770 0.000
```

VASP calculation (PBE) on a relaxed Ni3HgB crystal.

Values from the calculation:
ΔE to the lowest computed polymorph	0.0	meV/atom

Structure (POSCAR):
```
Ni3HgB
1.0
3.927 0.000 0.000
0.000 3.927 0.000
0.000 0.000 3.927
Ni Hg B
3 1 1
Cartesian
0.000 0.000 1.964
0.000 1.964 0.000
1.964 0.000 0.000
1.964 1.964 1.964
0.000 0.000 0.000
```

VASP calculation (PBE) on a relaxed Ni2HgB crystal.

Values from the calculation:
ΔE to the lowest computed polymorph	220.6	meV/atom

Structure (POSCAR):
```
Ni2HgB
1.0
5.825 0.000 0.000
0.000 5.825 0.000
0.000 0.000 5.825
Ni Hg B
8 4 4
Cartesian
1.456 1.456 1.456
1.456 1.456 4.369
1.456 4.369 1.456
1.456 4.369 4.369
4.369 1.456 1.456
4.369 1.456 4.369
4.369 4.369 1.456
4.369 4.369 4.369
0.000 0.000 0.000
0.000 2.912 2.912
2.912 0.000 2.912
2.912 2.912 0.000
0.000 0.000 2.912
0.000 2.912 0.000
2.912 0.000 0.000
2.912 2.912 2.912
```

VASP calculation (PBE) on a relaxed Ni2HgBPd crystal.

Values from the calculation:
electronic total energy	-4.778	eV per atom

Structure (POSCAR):
```
Ni2HgBPd
1.0
3.974 0.000 0.000
0.000 3.974 0.000
0.000 0.000 4.190
Ni Hg B Pd
2 1 1 1
Cartesian
0.000 1.987 0.000
1.987 0.000 0.000
0.000 0.000 2.095
1.987 1.987 0.000
1.987 1.987 2.095
```

VASP calculation (PBE) on a relaxed NiHgBPd2 crystal.

Values from the calculation:
electronic total energy	-4.727	eV per atom

Structure (POSCAR):
```
NiHgBPd2
1.0
4.241 0.000 0.000
0.000 4.241 0.000
0.000 0.000 3.960
Ni Hg B Pd
1 1 1 2
Cartesian
0.000 0.000 0.000
2.120 2.120 0.000
0.000 0.000 1.980
0.000 2.120 1.980
2.120 0.000 1.980
```

VASP calculation (PBE) on a relaxed NiHgBPt2 crystal.

Values from the calculation:
electronic total energy	-5.030	eV per atom

Structure (POSCAR):
```
NiHgBPt2
1.0
4.239 0.000 0.000
0.000 4.239 0.000
0.000 0.000 4.030
Ni Hg B Pt
1 1 1 2
Cartesian
0.000 0.000 0.000
2.119 2.119 0.000
0.000 0.000 2.015
0.000 2.119 2.015
2.119 0.000 2.015
```

VASP calculation (PBE) on a relaxed Ni2HgBPt crystal.

Values from the calculation:
electronic total energy	-4.958	eV per atom

Structure (POSCAR):
```
Ni2HgBPt
1.0
4.018 0.000 0.000
0.000 4.018 0.000
0.000 0.000 4.142
Ni Hg B Pt
2 1 1 1
Cartesian
0.000 2.009 0.000
2.009 0.000 0.000
0.000 0.000 2.071
2.009 2.009 0.000
2.009 2.009 2.071
```

VASP calculation (PBE) on a relaxed Ni2HgBRh crystal.

Values from the calculation:
electronic total energy	-5.249	eV per atom

Structure (POSCAR):
```
Ni2HgBRh
1.0
3.979 0.000 0.000
0.000 3.979 0.000
0.000 0.000 4.094
Ni Hg B Rh
2 1 1 1
Cartesian
0.000 1.989 0.000
1.989 0.000 0.000
0.000 0.000 2.047
1.989 1.989 0.000
1.989 1.989 2.047
```

VASP calculation (PBE) on a relaxed NiHgBRh2 crystal.

Values from the calculation:
electronic total energy	-5.560	eV per atom

Structure (POSCAR):
```
NiHgBRh2
1.0
4.159 0.000 0.000
0.000 4.159 0.000
0.000 0.000 3.976
Ni Hg B Rh
1 1 1 2
Cartesian
0.000 0.000 0.000
2.080 2.080 0.000
0.000 0.000 1.988
0.000 2.080 1.988
2.080 0.000 1.988
```

VASP calculation (PBE) on a relaxed TcNi2HgB crystal.

Values from the calculation:
electronic total energy	-3.894	eV per atom

Structure (POSCAR):
```
TcNi2HgB
1.0
4.769 0.000 0.000
0.000 4.769 0.000
0.000 0.000 3.995
Tc Ni Hg B
1 2 1 1
Cartesian
0.000 0.000 0.000
0.000 2.384 1.997
2.384 0.000 1.997
2.384 2.384 1.997
2.384 2.384 0.000
```